# 1
The following is a GGA-PBE calculation of an optimized crystal structure of Ba8ZnPtAu2, from the Alexandria database.

DFT total energy ... -34.5 eV for the cell shown

abc: 7.6478 9.7895 7.9157
angles: 90.00 90.39 90.00
Last column: nearest neighbours and their distance in Å.
Space group P2/m (No. 10)
Symmetry-distinct sites (fractional):
Ba1 0.2235 0.2331 0.1733 [4 per cell]  1 Pt 3.16, 1 Au 3.33, 1 Zn 3.41
Ba2 0.2648 0.0000 0.6844 [2 per cell]  1 Pt 3.23, 2 Au 3.36
Ba3 0.2751 0.5000 0.6707 [2 per cell]  2 Au 3.31, 1 Zn 3.36
Zn1 0.0000 0.5000 0.0000 [1 per cell]  6 Ba 3.36-3.41
Pt1 0.0000 0.0000 0.0000 [1 per cell]  6 Ba 3.16-3.23
Au1 0.5000 0.2475 0.5000 [2 per cell]  6 Ba 3.31-3.36

---

# 2
The following is a GGA-PBE calculation of an optimized crystal structure of Cs2Np2ScS6, from the Alexandria database.

Formation energy from raw total energies ... -1512 meV per atom

abc: 6.8882 11.8903 8.5326
angles: 90.00 105.47 90.00
Last column: nearest neighbours and their distance in Å.
Space group C2/m (No. 12)
Symmetry-distinct sites (fractional):
Cs1 0.0000 0.1667 0.0000 [4 per cell]  6 S 3.51-3.57
Np1 0.0000 0.3337 0.5000 [4 per cell]  6 S 2.73
Sc1 0.0000 0.0000 0.5000 [2 per cell]  6 S 2.63-2.65
S1 0.2197 0.1625 0.6733 [8 per cell]  1 Sc 2.65, 2 Np 2.73
S2 0.2350 0.5000 0.6727 [4 per cell]  1 Sc 2.63, 2 Np 2.73

---

Respective magnetic moment values: 0.00, 0.64 μB/atom.